(1)
DFT (PBEsol) results for a relaxed structure of Cr2CuCl.

```
4
Lattice="2.674 0.000 0.000 1.337 2.316 0.000 1.337 0.772 7.752" Properties=species:S:1:pos:R:3 pbc="T T T"
Cl 0.000 0.000 0.000
Cr 1.337 0.772 1.832
Cr 4.011 2.316 5.920
Cu 2.674 1.544 3.876
```

V, Å³/atom: 12.00
Symmetry: No. 166
Formation energy without anion corrections, eV per atom: 0.5343



(2)
DFT (PBEsol) results for a relaxed structure of Cr2CuCl.

```
4
Lattice="2.712 0.000 0.000 0.000 4.201 0.000 0.000 0.000 4.201" Properties=species:S:1:pos:R:3 pbc="T T T"
Cl 1.356 0.000 0.000
Cr 0.000 0.000 2.100
Cr 0.000 2.100 0.000
Cu 1.356 2.100 2.100
```

V, Å³/atom: 11.96
Symmetry: No. 123
Formation energy without anion corrections, eV per atom: 0.7307